No. 1
Material: YSn2Pd
Method: DFT, PBE
State: relaxed

formation energy from the elements: -0.7 eV per formula unit

Cell and atoms, written as CIF:
```
data_YSn2Pd
_cell_length_a 3.4083
_cell_length_b 3.4083
_cell_length_c 30.7654
_cell_angle_alpha 90.00
_cell_angle_beta 90.00
_cell_angle_gamma 120.00
_space_group_name_H-M_alt 'R -3 m'
_space_group_IT_number 166
_space_group_name_Hall '-R 3 2"'
loop_
_atom_site_label
_atom_site_type_symbol
_atom_site_fract_x
_atom_site_fract_y
_atom_site_fract_z
Y1 Y 0.0000 0.0000 0.0000
Sn1 Sn 0.0000 0.0000 0.1016
Pd1 Pd 0.0000 0.0000 0.5000
```

No. 2
Material: Y8Sn2Pd
Method: DFT, PBE
State: relaxed

formation energy from the elements: -4.9 eV per formula unit

Cell and atoms, written as CIF:
```
data_Y8Sn2Pd
_cell_length_a 19.2142
_cell_length_b 4.9838
_cell_length_c 6.7766
_cell_angle_alpha 90.00
_cell_angle_beta 103.41
_cell_angle_gamma 90.00
_space_group_name_H-M_alt 'C 1 2/m 1'
_space_group_IT_number 12
_space_group_name_Hall '-C 2y'
loop_
_atom_site_label
_atom_site_type_symbol
_atom_site_fract_x
_atom_site_fract_y
_atom_site_fract_z
Y1 Y 0.0186 0.0000 0.2777
Y2 Y 0.0921 0.5000 0.9736
Y3 Y 0.1487 0.5000 0.5024
Y4 Y 0.2167 0.0000 0.8224
Sn1 Sn 0.1824 0.0000 0.2599
Pd1 Pd 0.0000 0.5000 0.5000
```

No. 3
Material: YSn6Pd12
Method: DFT, PBE
State: relaxed

formation energy from the elements: -8.5 eV per formula unit

Cell and atoms, written as CIF:
```
data_YSn6Pd12
_cell_length_a 12.0803
_cell_length_b 12.0803
_cell_length_c 8.7689
_cell_angle_alpha 90.00
_cell_angle_beta 90.00
_cell_angle_gamma 120.00
_space_group_name_H-M_alt 'R -3 m'
_space_group_IT_number 166
_space_group_name_Hall '-R 3 2"'
loop_
_atom_site_label
_atom_site_type_symbol
_atom_site_fract_x
_atom_site_fract_y
_atom_site_fract_z
Y1 Y 0.0000 0.0000 0.0000
Sn1 Sn 0.0543 0.5272 0.2481
Pd1 Pd 0.0000 0.3829 0.5000
Pd2 Pd 0.0813 0.1626 0.2853
```

No. 4
Material: Y2SnPd6
Method: DFT, PBE
State: relaxed

formation energy from the elements: -4.8 eV per formula unit

Cell and atoms, written as CIF:
```
data_Y2SnPd6
_cell_length_a 13.6506
_cell_length_b 7.9283
_cell_length_c 3.5665
_cell_angle_alpha 90.00
_cell_angle_beta 105.01
_cell_angle_gamma 90.00
_space_group_name_H-M_alt 'C 1 2/m 1'
_space_group_IT_number 12
_space_group_name_Hall '-C 2y'
loop_
_atom_site_label
_atom_site_type_symbol
_atom_site_fract_x
_atom_site_fract_y
_atom_site_fract_z
Y1 Y 0.1580 0.0000 0.1630
Sn1 Sn 0.0000 0.5000 0.5000
Pd1 Pd 0.0000 0.2490 0.0000
Pd2 Pd 0.1662 0.2862 0.6679
```

No. 5
Material: YSn3Pd3
Method: DFT, PBE
State: relaxed

formation energy from the elements: -0.7 eV per formula unit

Cell and atoms, written as CIF:
```
data_YSn3Pd3
_cell_length_a 7.2437
_cell_length_b 7.2437
_cell_length_c 7.2437
_cell_angle_alpha 90.00
_cell_angle_beta 90.00
_cell_angle_gamma 90.00
_space_group_name_H-M_alt 'P m -3 n'
_space_group_IT_number 223
_space_group_name_Hall '-P 4n 2 3'
loop_
_atom_site_label
_atom_site_type_symbol
_atom_site_fract_x
_atom_site_fract_y
_atom_site_fract_z
Y1 Y 0.0000 0.0000 0.0000
Sn1 Sn 0.0000 0.2500 0.5000
Pd1 Pd 0.0000 0.5000 0.2500
```

No. 6
Material: Y3Sn3Pd
Method: DFT, PBE
State: relaxed

formation energy from the elements: -5.8 eV per formula unit

Cell and atoms, written as CIF:
```
data_Y3Sn3Pd
_cell_length_a 11.2235
_cell_length_b 4.5289
_cell_length_c 14.8447
_cell_angle_alpha 90.00
_cell_angle_beta 108.90
_cell_angle_gamma 90.00
_space_group_name_H-M_alt 'C 1 2/m 1'
_space_group_IT_number 12
_space_group_name_Hall '-C 2y'
loop_
_atom_site_label
_atom_site_type_symbol
_atom_site_fract_x
_atom_site_fract_y
_atom_site_fract_z
Y1 Y 0.0292 0.0000 0.3815
Y2 Y 0.0966 0.0000 0.9214
Y3 Y 0.2359 0.0000 0.2301
Sn1 Sn 0.0209 0.5000 0.2342
Sn2 Sn 0.1302 0.5000 0.0757
Sn3 Sn 0.1393 0.5000 0.5447
Pd1 Pd 0.2365 0.5000 0.3892
```

No. 7
Material: Y2SnPd9
Method: DFT, PBE
State: relaxed

formation energy from the elements: -8.8 eV per formula unit

Cell and atoms, written as CIF:
```
data_Y2SnPd9
_cell_length_a 4.1173
_cell_length_b 4.1173
_cell_length_c 12.2264
_cell_angle_alpha 90.00
_cell_angle_beta 90.00
_cell_angle_gamma 90.00
_space_group_name_H-M_alt 'P 4/m m m'
_space_group_IT_number 123
_space_group_name_Hall '-P 4 2'
loop_
_atom_site_label
_atom_site_type_symbol
_atom_site_fract_x
_atom_site_fract_y
_atom_site_fract_z
Y1 Y 0.0000 0.0000 0.1689
Sn1 Sn 0.0000 0.0000 0.5000
Pd1 Pd 0.0000 0.5000 0.0000
Pd2 Pd 0.0000 0.5000 0.3408
Pd3 Pd 0.5000 0.5000 0.1709
Pd4 Pd 0.5000 0.5000 0.5000
```

No. 8
Material: YSn2Pd4
Method: DFT, PBE
State: relaxed

energy relative to the lowest polymorph listed for this composition: 2 meV/atom
formation energy from the elements: -4.3 eV per formula unit

Cell and atoms, written as CIF:
```
data_YSn2Pd4
_cell_length_a 4.5598
_cell_length_b 4.5598
_cell_length_c 23.5554
_cell_angle_alpha 90.00
_cell_angle_beta 90.00
_cell_angle_gamma 120.00
_space_group_name_H-M_alt 'R -3 m'
_space_group_IT_number 166
_space_group_name_Hall '-R 3 2"'
loop_
_atom_site_label
_atom_site_type_symbol
_atom_site_fract_x
_atom_site_fract_y
_atom_site_fract_z
Y1 Y 0.0000 0.0000 0.0000
Sn1 Sn 0.0000 0.0000 0.2439
Pd1 Pd 0.0000 0.0000 0.1293
Pd2 Pd 0.0000 0.0000 0.4037
```

No. 9
Material: YSn4Pd7
Method: DFT, PBE
State: relaxed

formation energy from the elements: -5.8 eV per formula unit

Cell and atoms, written as CIF:
```
data_YSn4Pd7
_cell_length_a 11.4030
_cell_length_b 5.0134
_cell_length_c 9.9619
_cell_angle_alpha 90.00
_cell_angle_beta 124.01
_cell_angle_gamma 90.00
_space_group_name_H-M_alt 'C 1 2/m 1'
_space_group_IT_number 12
_space_group_name_Hall '-C 2y'
loop_
_atom_site_label
_atom_site_type_symbol
_atom_site_fract_x
_atom_site_fract_y
_atom_site_fract_z
Y1 Y 0.0000 0.0000 0.0000
Sn1 Sn 0.0899 0.5000 0.7768
Sn2 Sn 0.2344 0.5000 0.3330
Pd1 Pd 0.0000 0.5000 0.0000
Pd2 Pd 0.0676 0.0000 0.3365
Pd3 Pd 0.1432 0.5000 0.5411
Pd4 Pd 0.2191 0.0000 0.9025
```

No. 10
Material: YSn3Pd6
Method: DFT, PBE
State: relaxed

formation energy from the elements: -5.7 eV per formula unit

Cell and atoms, written as CIF:
```
data_YSn3Pd6
_cell_length_a 9.1860
_cell_length_b 3.8985
_cell_length_c 11.2172
_cell_angle_alpha 90.00
_cell_angle_beta 102.78
_cell_angle_gamma 90.00
_space_group_name_H-M_alt 'P 1 21/m 1'
_space_group_IT_number 11
_space_group_name_Hall '-P 2yb'
loop_
_atom_site_label
_atom_site_type_symbol
_atom_site_fract_x
_atom_site_fract_y
_atom_site_fract_z
Y1 Y 0.0258 0.2500 0.2343
Sn1 Sn 0.1287 0.2500 0.5848
Sn2 Sn 0.2904 0.7500 0.9382
Sn3 Sn 0.3914 0.2500 0.3171
Pd1 Pd 0.0978 0.2500 0.9777
Pd2 Pd 0.1937 0.7500 0.4254
Pd3 Pd 0.2301 0.7500 0.1713
Pd4 Pd 0.3054 0.7500 0.7038
Pd5 Pd 0.4268 0.2500 0.5617
Pd6 Pd 0.4300 0.2500 0.0840
```

No. 11
Material: YSn2Pd
Method: DFT, PBE
State: relaxed

formation energy from the elements: -1.7 eV per formula unit

Cell and atoms, written as CIF:
```
data_YSn2Pd
_cell_length_a 7.1364
_cell_length_b 7.1364
_cell_length_c 7.1364
_cell_angle_alpha 90.00
_cell_angle_beta 90.00
_cell_angle_gamma 90.00
_space_group_name_H-M_alt 'F m -3 m'
_space_group_IT_number 225
_space_group_name_Hall '-F 4 2 3'
loop_
_atom_site_label
_atom_site_type_symbol
_atom_site_fract_x
_atom_site_fract_y
_atom_site_fract_z
Y1 Y 0.0000 0.0000 0.0000
Sn1 Sn 0.2500 0.2500 0.2500
Pd1 Pd 0.0000 0.0000 0.5000
```

No. 12
Material: Y4SnPd7
Method: DFT, PBE
State: relaxed

formation energy from the elements: -8.3 eV per formula unit

Cell and atoms, written as CIF:
```
data_Y4SnPd7
_cell_length_a 10.7788
_cell_length_b 5.2017
_cell_length_c 10.4222
_cell_angle_alpha 90.00
_cell_angle_beta 118.99
_cell_angle_gamma 90.00
_space_group_name_H-M_alt 'C 1 2/m 1'
_space_group_IT_number 12
_space_group_name_Hall '-C 2y'
loop_
_atom_site_label
_atom_site_type_symbol
_atom_site_fract_x
_atom_site_fract_y
_atom_site_fract_z
Y1 Y 0.0921 0.0000 0.2838
Y2 Y 0.2100 0.5000 0.1351
Sn1 Sn 0.0000 0.5000 0.5000
Pd1 Pd 0.0000 0.0000 0.5000
Pd2 Pd 0.0775 0.5000 0.8073
Pd3 Pd 0.1327 0.0000 0.0209
Pd4 Pd 0.2104 0.5000 0.4111
```

Number 1: DOS at the Fermi energy 2.54 states/eV/f.u.. Number 2: DOS at the Fermi energy 10.19 states/eV/f.u.. Number 3: DOS at the Fermi energy 9.57 states/eV/f.u.. Number 4: DOS at the Fermi energy 3.16 states/eV/f.u.. Number 5: DOS at the Fermi energy 5.50 states/eV/f.u.. Number 6: DOS at the Fermi energy 3.55 states/eV/f.u.. Number 7: DOS at the Fermi energy 4.58 states/eV/f.u.. Number 8: DOS at the Fermi energy 4.47 states/eV/f.u.. Number 9: DOS at the Fermi energy 5.86 states/eV/f.u.. Number 10: DOS at the Fermi energy 5.20 states/eV/f.u.. Number 11: DOS at the Fermi energy 3.38 states/eV/f.u.. Number 12: DOS at the Fermi energy 6.17 states/eV/f.u..